No. 1
The following is a PBE-GGA calculation of a relaxed structure of Ce2ErFe, from the Alexandria database.

DOS(E_F) = 6.91 states/eV/f.u.
Raw total energy = -6.30 eV/atom
Energy of formation from the pure elements = -0.08 eV/atom

CIF file:
```
data_Ce2ErFe
_chemical_formula_sum 'Ce8 Er4 Fe4'
_symmetry_space_group_name_H-M 'P n m a'
_symmetry_Int_Tables_number 62
_cell_length_a 6.807
_cell_length_b 9.423
_cell_length_c 6.063
_cell_angle_alpha 90.00
_cell_angle_beta 90.00
_cell_angle_gamma 90.00
loop_
_symmetry_equiv_pos_as_xyz
'x,y,z'
'-x,-y,-z'
'-x+1/2,-y,z+1/2'
'x+1/2,y,-z+1/2'
'x+1/2,-y+1/2,-z+1/2'
'-x+1/2,y+1/2,z+1/2'
'-x,y+1/2,-z'
'x,-y+1/2,z'
loop_
_atom_site_label
_atom_site_type_symbol
_atom_site_fract_x
_atom_site_fract_y
_atom_site_fract_z
Ce1 Ce 0.151 0.068 0.141
Er1 Er 0.060 0.250 0.628
Fe1 Fe 0.067 0.750 0.885
```

No. 2
The following is a PBE-GGA calculation of a relaxed structure of Ce4NdY, from the Alexandria database.

DOS(E_F) = 18.81 states/eV/f.u.
Raw total energy = -5.63 eV/atom
Energy of formation from the pure elements = 0.20 eV/atom

CIF file:
```
data_Ce4NdY
_chemical_formula_sum 'Ce16 Nd4 Y4'
_symmetry_space_group_name_H-M 'F -4 3 m'
_symmetry_Int_Tables_number 216
_symmetry_space_group_name_Hall 'F -4 2 3'
_cell_length_a 9.000
_cell_length_b 9.000
_cell_length_c 9.000
_cell_angle_alpha 90.00
_cell_angle_beta 90.00
_cell_angle_gamma 90.00
loop_
_atom_site_label
_atom_site_type_symbol
_atom_site_fract_x
_atom_site_fract_y
_atom_site_fract_z
Ce1 Ce 0.121 0.121 0.121
Nd1 Nd 0.000 0.000 0.500
Y1 Y 0.250 0.250 0.750
```

No. 3
The following is a PBE-GGA calculation of a relaxed structure of MnHPd3, from the Alexandria database.

DOS(E_F) = 1.33 states/eV/f.u.
Raw total energy = -5.69 eV/atom

CIF file:
```
data_MnHPd3
_chemical_formula_sum 'Mn6 H6 Pd18'
_symmetry_space_group_name_H-M 'R -3 c'
_symmetry_Int_Tables_number 167
_symmetry_space_group_name_Hall '-R 3 2"c'
_cell_length_a 7.2192
_cell_length_b 7.2192
_cell_length_c 8.5919
_cell_angle_alpha 90.00
_cell_angle_beta 90.00
_cell_angle_gamma 120.00
loop_
_atom_site_label
_atom_site_type_symbol
_atom_site_fract_x
_atom_site_fract_y
_atom_site_fract_z
Mn1 Mn 0.0000 0.0000 0.0000
H1 H 0.0000 0.0000 0.2500
Pd1 Pd 0.0000 0.2602 0.2500
```

> Which of these has the lowest DOS(E_F)?

MnHPd3

> Which formula does entry 1 have?

Ce2ErFe